Entry 1:
A plane-wave DFT calculation with PBE was carried out for crystalline Sr2Mg3Cd12Pd at its relaxed geometry.

Calculated values
mass density: 5.90 g/cm3
DOS at the Fermi energy: 10.10 states/eV/cell
calculated formation energy: -1.63 eV/f.u.

abc: 12.937 12.937 12.937
angles: 30.00 30.00 30.00
Sites, in units of the cell vectors:
Cd  0.105  0.105  0.623
Cd  0.407  0.852  0.407
Cd  0.105  0.623  0.105
Cd  0.593  0.148  0.593
Cd  0.852  0.407  0.407
Cd  0.895  0.895  0.377
Cd  0.593  0.593  0.148
Cd  0.148  0.593  0.593
Cd  0.895  0.377  0.895
Cd  0.377  0.895  0.895
Cd  0.407  0.407  0.852
Cd  0.623  0.105  0.105
Sr  0.358  0.358  0.358
Sr  0.642  0.642  0.642
Pd  0.000  0.000  0.000
Mg  0.000  0.500  0.000
Mg  0.000  0.000  0.500
Mg  0.500  0.000  0.000


Entry 2:
A plane-wave DFT calculation with PBE was carried out for crystalline Rb3PmEr2Te6 at its relaxed geometry.

Calculated values
energy relative to the elements, uncorrected: -1.380 eV/atom
mass density: 5.44 g/cm3

abc: 7.864 7.864 8.948
angles: 98.43 98.43 120.00
Sites, in units of the cell vectors:
Er  0.333  0.667  0.000
Er  0.667  0.333  0.000
Pm  0.000  0.000  0.000
Te  0.067  0.408  0.200
Te  0.592  0.933  0.800
Te  0.725  0.725  0.199
Te  0.275  0.275  0.801
Te  0.408  0.067  0.200
Te  0.933  0.592  0.800
Rb  0.165  0.835  0.500
Rb  0.835  0.165  0.500
Rb  0.500  0.500  0.500


Entry 3:
A plane-wave DFT calculation with PBE was carried out for crystalline Nd6Sm2In3 at its relaxed geometry.

Calculated values
mass density: 6.76 g/cm3
DOS at the Fermi energy: 8.99 states/eV/cell
calculated formation energy: 1.93 eV/f.u.

abc: 5.434 5.434 13.139
angles: 101.93 101.93 90.00
Sites, in units of the cell vectors:
Nd  0.600  0.100  0.200
Nd  0.400  0.900  0.800
Nd  0.900  0.400  0.800
Nd  0.302  0.302  0.603
Nd  0.698  0.698  0.397
Nd  0.100  0.600  0.200
In  0.175  0.175  0.350
In  0.000  0.000  0.000
In  0.825  0.825  0.650
Sm  0.557  0.557  0.114
Sm  0.443  0.443  0.886


Entry 4:
A plane-wave DFT calculation with PBE was carried out for crystalline Hf4C3N at its relaxed geometry.

Calculated values
energy relative to the elements, uncorrected: -1.193 eV/atom
mass density: 12.85 g/cm3
DOS at the Fermi energy: 2.70 states/eV/cell

abc: 4.622 4.622 4.622
angles: 90.00 90.00 90.00
Sites, in units of the cell vectors:
Hf  0.000  0.500  0.000
Hf  0.500  0.500  0.500
Hf  0.000  0.000  0.500
Hf  0.500  0.000  0.000
C  0.000  0.500  0.500
C  0.500  0.000  0.500
C  0.500  0.500  0.000
N  0.000  0.000  0.000


Entry 5:
A plane-wave DFT calculation with PBE was carried out for crystalline Tb8Nd3Sc at its relaxed geometry.

Calculated values
mass density: 6.73 g/cm3
DOS at the Fermi energy: 18.64 states/eV/cell
calculated formation energy: 6.94 eV/f.u.

abc: 8.379 8.379 8.379
angles: 94.80 117.27 117.27
Sites, in units of the cell vectors:
Tb  0.000  0.259  0.791
Tb  0.000  0.886  0.635
Tb  0.252  0.365  0.365
Tb  0.468  0.209  0.209
Tb  0.532  0.741  0.741
Tb  0.000  0.791  0.259
Tb  0.748  0.114  0.114
Tb  0.000  0.635  0.886
Sc  0.000  0.000  0.000
Nd  0.000  0.500  0.500
Nd  0.500  0.250  0.750
Nd  0.500  0.750  0.250


Entry 6:
A plane-wave DFT calculation with PBE was carried out for crystalline KSrFe2 at its relaxed geometry.

Calculated values
mass density: 2.78 g/cm3
DOS at the Fermi energy: 3.82 states/eV/cell
calculated formation energy: 3.15 eV/f.u.

abc: 5.979 5.979 8.123
angles: 54.56 54.56 38.43
Sites, in units of the cell vectors:
Fe  0.492  0.492  0.690
Fe  0.008  0.008  0.810
K  0.250  0.250  0.250
Sr  0.750  0.750  0.750


Entry 7:
A plane-wave DFT calculation with PBE was carried out for crystalline Li5AlPd8 at its relaxed geometry.

Calculated values
mass density: 7.57 g/cm3
DOS at the Fermi energy: 2.66 states/eV/cell
calculated formation energy: -5.19 eV/f.u.

abc: 6.385 6.385 6.385
angles: 110.08 108.25 110.08
Sites, in units of the cell vectors:
Li  0.500  0.000  0.500
Li  0.316  0.101  0.965
Li  0.035  0.351  0.136
Li  0.786  0.649  0.684
Li  0.864  0.899  0.214
Pd  0.158  0.742  0.059
Pd  0.657  0.402  0.914
Pd  0.941  0.098  0.683
Pd  0.745  0.257  0.343
Pd  0.317  0.258  0.416
Pd  0.086  0.743  0.488
Pd  0.512  0.598  0.255
Pd  0.584  0.902  0.842
Al  0.250  0.500  0.750


Entry 8:
A plane-wave DFT calculation with PBE was carried out for crystalline Na2Cd2Pb at its relaxed geometry.

Calculated values
mass density: 5.73 g/cm3
DOS at the Fermi energy: 3.72 states/eV/cell
calculated formation energy: -0.52 eV/f.u.

abc: 4.985 5.835 11.398
angles: 101.06 77.37 64.71
Sites, in units of the cell vectors:
Na  0.897  0.269  0.937
Na  0.283  0.836  0.598
Na  0.717  0.164  0.402
Na  0.103  0.731  0.063
Cd  0.972  0.441  0.614
Cd  0.640  0.855  0.865
Cd  0.360  0.145  0.135
Cd  0.028  0.559  0.386
Pb  0.447  0.354  0.752
Pb  0.553  0.646  0.248


Entry 9:
A plane-wave DFT calculation with PBE was carried out for crystalline TbMgGa2Pt2 at its relaxed geometry.

Calculated values
mass density: 10.65 g/cm3
DOS at the Fermi energy: 3.31 states/eV/cell
calculated formation energy: -5.48 eV/f.u.

abc: 4.413 4.413 6.589
angles: 90.00 90.00 120.00
Sites, in units of the cell vectors:
Ga  0.667  0.333  0.709
Ga  0.333  0.667  0.291
Pt  0.333  0.667  0.722
Pt  0.667  0.333  0.278
Mg  0.000  0.000  0.500
Tb  0.000  0.000  0.000


Entry 10:
A plane-wave DFT calculation with PBE was carried out for crystalline NdLuZnPb at its relaxed geometry.

Calculated values
mass density: 9.44 g/cm3
DOS at the Fermi energy: 2.94 states/eV/cell
calculated formation energy: -1.36 eV/f.u.

abc: 5.280 5.280 5.280
angles: 60.00 60.00 60.00
Sites, in units of the cell vectors:
Nd  0.250  0.250  0.250
Pb  0.500  0.500  0.500
Lu  0.750  0.750  0.750
Zn  0.000  0.000  0.000


Entry 11:
A plane-wave DFT calculation with PBE was carried out for crystalline BiRuS2N at its relaxed geometry.

Calculated values
energy relative to the elements, uncorrected: 1.684 eV/atom
mass density: 5.53 g/cm3
DOS at the Fermi energy: 4.21 states/eV/cell

abc: 5.218 5.218 4.285
angles: 90.00 90.00 90.00
Sites, in units of the cell vectors:
S  0.500  0.000  0.000
S  0.000  0.500  0.000
Bi  0.000  0.000  0.000
N  0.000  0.000  0.500
Ru  0.500  0.500  0.500


Entry 12:
A plane-wave DFT calculation with PBE was carried out for crystalline PrPaSn at its relaxed geometry.

Calculated values
mass density: 9.15 g/cm3
DOS at the Fermi energy: 8.80 states/eV/cell
calculated formation energy: -0.28 eV/f.u.

abc: 5.890 3.344 9.193
angles: 79.52 90.00 90.00
Sites, in units of the cell vectors:
Sn  0.250  0.156  0.688
Sn  0.750  0.844  0.312
Pa  0.000  0.000  0.000
Pa  0.500  0.000  0.000
Pr  0.750  0.664  0.672
Pr  0.250  0.336  0.328